## CsPmUS4 (GGA-PBE)

Data for a relaxed structure of CsPmUS4.

Calculated values
Total energy   -0.464 Ry/atom
ΔE_f (raw)   -1.55 eV/atom

Cell: 8.635 8.635 8.635 Å, 120.88 117.84 91.13°
Fractional positions:
Cs: 0.385 0.135 0.250
Cs: 0.615 0.865 0.750
Pm: 0.000 0.500 0.500
Pm: 0.500 0.500 0.000
U: 0.000 0.000 0.500
U: 0.000 0.500 0.000
S: 0.175 0.733 0.442
S: 0.209 0.267 0.942
S: 0.222 0.264 0.542
S: 0.222 0.680 0.958
S: 0.778 0.320 0.042
S: 0.778 0.736 0.458
S: 0.791 0.733 0.058
S: 0.825 0.267 0.558